## CoPN2O (GGA+U)

Data for an optimized crystal structure of CoPN2O.

- electronic total energy (eV per cell) = -25.6
- N(E_F) (states/eV/atom) = 0.36

a = 3.6134 Å, b = 3.6134 Å, c = 3.8581 Å
α = 90.00°, β = 90.00°, γ = 90.00°
Last column: nearest neighbours and their distance in Å.
Space group P4/mmm (No. 123)
Asymmetric unit:
Co (0.0000, 0.0000, 0.0000) (multiplicity 1)  4 N 1.81, 2 O 1.93
P (0.5000, 0.5000, 0.5000) (multiplicity 1)  4 O 2.56, 8 N 2.64
N (0.0000, 0.5000, 0.0000) (multiplicity 2)  2 Co 1.81
O (0.0000, 0.0000, 0.5000) (multiplicity 1)  2 Co 1.93



## HfFeI2O (GGA+U)

Data for an optimized crystal structure of HfFeI2O.

- N(E_F) (states/eV/atom) = 0.60
- E above lowest polymorph (meV/atom) = 577

a = 5.6491 Å, b = 5.6491 Å, c = 3.6368 Å
α = 90.00°, β = 90.00°, γ = 90.00°
Last column: nearest neighbours and their distance in Å.
Space group P4/mmm (No. 123)
Asymmetric unit:
Hf (0.0000, 0.0000, 0.0000) (multiplicity 1)  8 I 3.36, 2 Hf 3.64
Fe (0.5000, 0.5000, 0.5000) (multiplicity 1)  2 O 1.82
I (0.0000, 0.5000, 0.5000) (multiplicity 2)  2 Fe 2.82
O (0.5000, 0.5000, 0.0000) (multiplicity 1)  2 Fe 1.82